KLiMg2: optimized geometry, PBE-GGA.

a b c (Å): 3.452 5.682 6.017
angles (deg): 90.00 90.00 90.00
Atoms (fractional coordinates):
K 0.000 0.000 0.000
Li 0.500 0.500 0.000
Mg 0.000 0.500 0.500
Mg 0.500 0.000 0.500

Values from the calculation:
density = 1.332 g cm⁻³
M_tot = 0.00 μB/atom
energy = -1.32 eV per atom

---

KLiMg2: optimized geometry, PBE-GGA.

a b c (Å): 11.705 11.705 11.705
angles (deg): 16.98 16.98 16.98
Atoms (fractional coordinates):
K 0.000 0.000 0.000
Li 0.763 0.763 0.763
Mg 0.239 0.239 0.239
Mg 0.498 0.498 0.498

Values from the calculation:
density = 1.318 g cm⁻³
M_tot = 0.00 μB/atom
energy = -1.33 eV per atom

---

K2LiMg: optimized geometry, PBE-GGA.

a b c (Å): 5.728 7.727 7.727
angles (deg): 30.92 90.00 90.00
Atoms (fractional coordinates):
K 0.000 0.000 0.000
K 0.500 0.322 0.322
Li 0.500 0.617 0.617
Mg 0.000 0.712 0.712

Values from the calculation:
density = 1.034 g cm⁻³
M_tot = 0.00 μB/atom
energy = -1.24 eV per atom

---

KLiMg2: optimized geometry, PBE-GGA.

a b c (Å): 6.478 6.478 3.370
angles (deg): 90.00 90.00 118.92
Atoms (fractional coordinates):
K 0.000 0.000 0.000
Li 0.500 0.500 0.000
Mg 0.000 0.500 0.500
Mg 0.500 0.000 0.500

Values from the calculation:
density = 1.269 g cm⁻³
M_tot = 0.00 μB/atom
energy = -1.30 eV per atom

---

KLi2Mg2: optimized geometry, PBE-GGA.

a b c (Å): 7.650 7.650 7.650
angles (deg): 143.47 143.47 52.63
Atoms (fractional coordinates):
K 0.000 0.000 0.000
Li 0.250 0.750 0.500
Li 0.750 0.250 0.500
Mg 0.386 0.386 0.000
Mg 0.614 0.614 0.000

Values from the calculation:
density = 1.070 g cm⁻³
M_tot = 0.00 μB/atom
energy = -1.43 eV per atom
distance to the lowest polymorph of the same formula = 112 meV per atom

---

KLiMg3: optimized geometry, PBE-GGA.

a b c (Å): 5.328 5.328 5.328
angles (deg): 90.00 90.00 90.00
Atoms (fractional coordinates):
K 0.000 0.000 0.000
Li 0.500 0.500 0.500
Mg 0.000 0.500 0.500
Mg 0.500 0.000 0.500
Mg 0.500 0.500 0.000

Values from the calculation:
density = 1.306 g cm⁻³
M_tot = 0.00 μB/atom
energy = -1.32 eV per atom
distance to the lowest polymorph of the same formula = 0 meV per atom

---

KLiMg2: optimized geometry, PBE-GGA.

a b c (Å): 6.839 6.839 6.839
angles (deg): 151.43 130.05 58.55
Atoms (fractional coordinates):
K 0.000 0.000 0.000
Li 0.500 0.500 0.000
Mg 0.286 0.786 0.500
Mg 0.714 0.214 0.500

Values from the calculation:
density = 1.352 g cm⁻³
M_tot = 0.00 μB/atom
energy = -1.38 eV per atom

---

KLiMg2: optimized geometry, PBE-GGA.

a b c (Å): 6.325 6.325 6.325
angles (deg): 135.46 135.46 64.82
Atoms (fractional coordinates):
K 0.000 0.000 0.000
Li 0.500 0.500 0.000
Mg 0.250 0.750 0.500
Mg 0.750 0.250 0.500

Values from the calculation:
density = 1.281 g cm⁻³
M_tot = 0.00 μB/atom
energy = -1.33 eV per atom

---

KLiMg2: optimized geometry, PBE-GGA.

a b c (Å): 5.546 5.546 5.546
angles (deg): 119.48 119.48 90.90
Atoms (fractional coordinates):
K 0.000 0.000 0.000
Li 0.750 0.250 0.500
Mg 0.250 0.750 0.500
Mg 0.500 0.500 0.000

Values from the calculation:
density = 1.293 g cm⁻³
M_tot = 0.00 μB/atom
energy = -1.35 eV per atom

---

K2LiMg: optimized geometry, PBE-GGA.

a b c (Å): 4.052 4.052 10.447
angles (deg): 90.00 90.00 90.00
Atoms (fractional coordinates):
K 0.000 0.000 0.000
K 0.500 0.500 0.377
Li 0.000 0.000 0.644
Mg 0.500 0.500 0.740

Values from the calculation:
density = 1.059 g cm⁻³
M_tot = 0.00 μB/atom
energy = -1.30 eV per atom

---

Fermi-level density of states / states/eV per cell: 1.8; 2.4; 2.6; 2.5; 3.1; 3.1; 1.8; 1.9; 2.8; 3.2